(1)
Computed, not measured: a relaxed structure of Ba2ZrTlRe at the PBE level of DFT.

Cell: 6.513 6.513 4.730 Å, 90.00 90.00 90.00°
Element x y z (fractional)
Ba 0.000 0.500 0.000
Ba 0.500 0.000 0.000
Zr 0.000 0.000 0.000
Tl 0.500 0.500 0.500
Re 0.000 0.000 0.500

Properties
DFT total energy = -4.493 eV/atom

---

(2)
Computed, not measured: a relaxed structure of Ba2VRe at the PBE level of DFT.

Cell: 7.815 7.815 7.815 Å, 90.00 90.00 90.00°
Element x y z (fractional)
Ba 0.250 0.250 0.250
Ba 0.250 0.250 0.750
Ba 0.250 0.750 0.250
Ba 0.250 0.750 0.750
Ba 0.750 0.250 0.250
Ba 0.750 0.250 0.750
Ba 0.750 0.750 0.250
Ba 0.750 0.750 0.750
V 0.000 0.000 0.000
V 0.000 0.500 0.500
V 0.500 0.000 0.500
V 0.500 0.500 0.000
Re 0.000 0.000 0.500
Re 0.000 0.500 0.000
Re 0.500 0.000 0.000
Re 0.500 0.500 0.500

Properties
DFT total energy = -4.869 eV/atom

---

(3)
Computed, not measured: a relaxed structure of BaVRe2 at the PBE level of DFT.

Cell: 6.648 6.648 6.648 Å, 90.00 90.00 90.00°
Element x y z (fractional)
Ba 0.000 0.000 0.000
Ba 0.000 0.500 0.500
Ba 0.500 0.000 0.500
Ba 0.500 0.500 0.000
V 0.000 0.000 0.500
V 0.000 0.500 0.000
V 0.500 0.000 0.000
V 0.500 0.500 0.500
Re 0.250 0.250 0.250
Re 0.250 0.250 0.750
Re 0.250 0.750 0.250
Re 0.250 0.750 0.750
Re 0.750 0.250 0.250
Re 0.750 0.250 0.750
Re 0.750 0.750 0.250
Re 0.750 0.750 0.750

Properties
energy above the most stable polymorph in this dataset = 238 meV per atom
DFT total energy = -7.582 eV/atom

---

(4)
Computed, not measured: a relaxed structure of BaV3Re at the PBE level of DFT.

Cell: 4.901 4.901 4.901 Å, 90.00 90.00 90.00°
Element x y z (fractional)
Ba 0.000 0.000 0.000
V 0.000 0.500 0.500
V 0.500 0.000 0.500
V 0.500 0.500 0.000
Re 0.500 0.500 0.500

Properties
energy above the most stable polymorph in this dataset = 0 meV per atom
DFT total energy = -7.439 eV/atom

---

(5)
Computed, not measured: a relaxed structure of BaVRe2 at the PBE level of DFT.

Cell: 5.042 5.042 16.663 Å, 90.00 90.00 90.00°
Element x y z (fractional)
Ba 0.000 0.250 0.375
Ba 0.000 0.750 0.625
Ba 0.500 0.250 0.125
Ba 0.500 0.750 0.875
V 0.000 0.250 0.875
V 0.000 0.750 0.125
V 0.500 0.250 0.625
V 0.500 0.750 0.375
Re 0.000 0.000 0.000
Re 0.000 0.500 0.000
Re 0.250 0.250 0.750
Re 0.250 0.750 0.250
Re 0.500 0.000 0.500
Re 0.500 0.500 0.500
Re 0.750 0.250 0.750
Re 0.750 0.750 0.250

Properties
energy above the most stable polymorph in this dataset = 0 meV per atom
DFT total energy = -7.820 eV/atom

---

(6)
Computed, not measured: a relaxed structure of BaV3Re at the PBE level of DFT.

Cell: 4.699 4.699 4.699 Å, 90.00 90.00 90.00°
Element x y z (fractional)
Ba 0.000 0.000 0.000
V 0.000 0.000 0.500
V 0.000 0.500 0.000
V 0.500 0.000 0.000
Re 0.500 0.500 0.500

Properties
energy above the most stable polymorph in this dataset = 1976 meV per atom
DFT total energy = -5.463 eV/atom

---

no.,calculated formation energy (eV/atom),DOS at the Fermi energy (states/eV per atom),M_tot (μB per cell)
1,0.949,1.060,0.000
2,1.484,1.645,21.688
3,1.402,1.004,1.046
4,0.907,1.455,6.014
5,1.164,1.524,0.079
6,2.882,1.752,1.106